w | First-principles (PBE-GGA) data for a relaxed K2HPdRu crystal, as listed in Alexandria.

Cell: 6.2940 3.2208 6.2940 Å, 90.00 90.00 90.00°
With the nearest neighbours (Å) after each atom.
Fractional coordinates of all 5 atoms:
Ru: 0.5000 0.5000 0.5000  2 Ru 3.22, 8 K 3.54
K: 0.0000 0.0000 0.5000  2 Pd 3.15, 2 K 3.22
K: 0.5000 0.0000 0.0000  2 Pd 3.15, 2 K 3.22
Pd: 0.0000 0.0000 0.0000  2 H 1.61
H: 0.0000 0.5000 0.0000  2 Pd 1.61

=====

x | First-principles (PBE-GGA) data for a relaxed K2HPdRu crystal, as listed in Alexandria.

Cell: 5.6910 3.4803 5.6910 Å, 90.00 90.00 90.00°
With the nearest neighbours (Å) after each atom.
Fractional coordinates of all 5 atoms:
Ru: 0.0000 0.5000 0.0000  2 H 1.74
K: 0.0000 0.0000 0.5000  2 H 2.85
K: 0.5000 0.0000 0.0000  2 H 2.85
Pd: 0.5000 0.5000 0.5000  8 K 3.34, 2 Pd 3.48
H: 0.0000 0.0000 0.0000  2 Ru 1.74

=====

How do the energies compare? Relative to the most stable structure, in kJ/mol of atoms: w 6.4; x 0.0.

=====

w | First-principles (PBE-GGA) data for a relaxed KH3Pt crystal, as listed in Alexandria.

Cell: 3.7818 3.7818 3.7818 Å, 90.00 90.00 90.00°
With the nearest neighbours (Å) after each atom.
Fractional coordinates of all 5 atoms:
Pt: 0.0000 0.0000 0.0000  6 H 1.89
K: 0.5000 0.5000 0.5000  12 H 2.67
H: 0.0000 0.5000 0.0000  2 Pt 1.89
H: 0.0000 0.0000 0.5000  2 Pt 1.89
H: 0.5000 0.0000 0.0000  2 Pt 1.89

=====

x | First-principles (PBE-GGA) data for a relaxed KH3Pt crystal, as listed in Alexandria.

Cell: 4.1181 4.1181 4.1181 Å, 90.00 90.00 90.00°
With the nearest neighbours (Å) after each atom.
Fractional coordinates of all 5 atoms:
H: 0.5000 0.0000 0.0000  2 K 2.06
H: 0.0000 0.0000 0.5000  2 K 2.06
H: 0.0000 0.5000 0.0000  2 K 2.06
K: 0.0000 0.0000 0.0000  6 H 2.06
Pt: 0.5000 0.5000 0.5000  12 H 2.91

=====

How do the energies compare? Relative to the most stable structure, in kJ/mol of atoms: w 0.0; x 174.4.

=====

w | First-principles (PBE-GGA) data for a relaxed K2HPt crystal, as listed in Alexandria.

Cell: 11.3319 11.3319 8.2113 Å, 46.37 46.37 90.00°
With the nearest neighbours (Å) after each atom.
Fractional coordinates of all 8 atoms:
K: 0.3322 0.6250 0.2500  2 H 2.91, 2 Pt 3.17
K: 0.8750 0.6678 0.7500  2 H 2.91, 2 Pt 3.17
K: 0.3750 0.5822 0.7500  2 H 2.91, 2 Pt 3.17
K: 0.4178 0.1250 0.2500  2 H 2.91, 2 Pt 3.17
Pt: 0.7500 0.2500 0.5000  2 H 1.79
Pt: 0.0000 0.0000 0.0000  2 H 1.79
H: 0.5000 0.5000 0.0000  2 Pt 1.79
H: 0.2500 0.7500 0.5000  2 Pt 1.79

=====

x | First-principles (PBE-GGA) data for a relaxed K2HPt crystal, as listed in Alexandria.

Cell: 5.3478 5.3478 5.3478 Å, 60.00 60.00 60.00°
With the nearest neighbours (Å) after each atom.
Fractional coordinates of all 4 atoms:
K: 0.7500 0.7500 0.7500  4 Pt 3.27, 4 H 3.27
K: 0.2500 0.2500 0.2500  4 Pt 3.27, 4 H 3.27
Pt: 0.5000 0.5000 0.5000  8 K 3.27
H: 0.0000 0.0000 0.0000  8 K 3.27

=====

How do the energies compare? Relative to the most stable structure, in kJ/mol of atoms: w 0.0; x 50.6.

=====

w | First-principles (PBE-GGA) data for a relaxed K3H5Pt crystal, as listed in Alexandria.

Cell: 7.2922 7.2922 7.9649 Å, 117.24 117.24 90.00°
With the nearest neighbours (Å) after each atom.
Fractional coordinates of all 18 atoms:
H: 0.2568 0.7568 0.2970  1 Pt 1.66
H: 0.4598 0.7432 0.7030  1 Pt 1.66
H: 0.2432 0.9598 0.7030  1 Pt 1.66
H: 0.7432 0.2432 0.7030  1 Pt 1.66
H: 0.0000 0.0000 0.0000  4 K 2.66
H: 0.5000 0.5000 0.0000  4 K 2.66
H: 0.7568 0.0402 0.2970  1 Pt 1.66
H: 0.0402 0.5402 0.2970  1 Pt 1.66
H: 0.9598 0.4598 0.7030  1 Pt 1.66
H: 0.5402 0.2568 0.2970  1 Pt 1.66
K: 0.1880 0.3120 0.0000  8 H 2.66-2.87
K: 0.8120 0.6880 0.0000  8 H 2.66-2.87
K: 0.3120 0.8120 0.0000  8 H 2.66-2.87
K: 0.2500 0.2500 0.5000  10 H 3.04-3.21
K: 0.6880 0.1880 0.0000  8 H 2.66-2.87
K: 0.7500 0.7500 0.5000  10 H 3.04-3.21
Pt: 0.2500 0.7500 0.5000  4 H 1.66
Pt: 0.7500 0.2500 0.5000  4 H 1.66

=====

x | First-principles (PBE-GGA) data for a relaxed K3H5Pt crystal, as listed in Alexandria.

Cell: 7.3543 7.3543 5.7000 Å, 90.00 90.00 90.00°
With the nearest neighbours (Å) after each atom.
Fractional coordinates of all 18 atoms:
H: 0.3857 0.8857 0.7969  1 Pt 1.66
H: 0.5000 0.5000 0.5000  6 K 2.69-2.85
H: 0.8857 0.6143 0.7969  1 Pt 1.66
H: 0.1143 0.3857 0.2031  1 Pt 1.66
H: 0.6143 0.1143 0.2031  1 Pt 1.66
H: 0.3857 0.8857 0.2031  1 Pt 1.66
H: 0.1143 0.3857 0.7969  1 Pt 1.66
H: 0.0000 0.0000 0.5000  6 K 2.69-2.85
H: 0.6143 0.1143 0.7969  1 Pt 1.66
H: 0.8857 0.6143 0.2031  1 Pt 1.66
Pt: 0.5000 0.0000 0.0000  4 H 1.66
Pt: 0.0000 0.5000 0.0000  4 H 1.66
K: 0.1843 0.6843 0.5000  8 H 2.69-2.82
K: 0.0000 0.0000 0.0000  10 H 2.85-3.18
K: 0.8157 0.3157 0.5000  8 H 2.69-2.82
K: 0.6843 0.8157 0.5000  8 H 2.69-2.82
K: 0.3157 0.1843 0.5000  8 H 2.69-2.82
K: 0.5000 0.5000 0.0000  10 H 2.85-3.18

=====

How do the energies compare? Relative to the most stable structure, in kJ/mol of atoms: w 24.0; x 0.0.